Record 1
# TaMo2 (PBEsol, optimized geometry)
# ρ = 12.9 g cm⁻³
# Total energy = -12.20 eV per atom
data_TaMo2
_cell_length_a 3.165
_cell_length_b 3.165
_cell_length_c 9.551
_cell_angle_alpha 90.00
_cell_angle_beta 90.00
_cell_angle_gamma 90.00
_symmetry_space_group_name_H-M 'I 4/m m m'
_symmetry_Int_Tables_number 139
_symmetry_space_group_name_Hall '-I 4 2'
loop_
_atom_site_label
_atom_site_fract_x
_atom_site_fract_y
_atom_site_fract_z
Ta1 0.000 0.000 0.000
Mo1 0.000 0.000 0.330



Record 2
# Ta2TcMo (PBEsol, optimized geometry)
# ρ = 14.4 g cm⁻³
# ΔE to the lowest computed polymorph = 1 meV/atom
# Total energy = -12.37 eV per atom
data_Ta2TcMo
_cell_length_a 3.170
_cell_length_b 3.170
_cell_length_c 6.359
_cell_angle_alpha 90.00
_cell_angle_beta 90.00
_cell_angle_gamma 90.00
_symmetry_space_group_name_H-M 'P 4/m m m'
_symmetry_Int_Tables_number 123
_symmetry_space_group_name_Hall '-P 4 2'
loop_
_atom_site_label
_atom_site_fract_x
_atom_site_fract_y
_atom_site_fract_z
Ta1 0.000 0.000 0.248
Tc1 0.500 0.500 0.000
Mo1 0.500 0.500 0.500



Record 3
# Ta2TcMo (PBEsol, optimized geometry)
# ρ = 14.3 g cm⁻³
# ΔE to the lowest computed polymorph = 258 meV/atom
# Total energy = -12.11 eV per atom
data_Ta2TcMo
_cell_length_a 3.176
_cell_length_b 4.577
_cell_length_c 8.857
_cell_angle_alpha 90.00
_cell_angle_beta 90.00
_cell_angle_gamma 90.00
_symmetry_space_group_name_H-M 'C m m 2'
_symmetry_Int_Tables_number 35
_symmetry_space_group_name_Hall 'C 2 -2'
loop_
_atom_site_label
_atom_site_fract_x
_atom_site_fract_y
_atom_site_fract_z
Ta1 0.000 0.000 0.000
Ta2 0.000 0.500 0.268
Tc1 0.000 0.500 0.757
Mo1 0.000 0.000 0.521



Record 4
# Ta2TcMo (PBEsol, optimized geometry)
# ρ = 14.5 g cm⁻³
# ΔE to the lowest computed polymorph = 0 meV/atom
# Total energy = -12.37 eV per atom
data_Ta2TcMo
_cell_length_a 6.343
_cell_length_b 6.343
_cell_length_c 6.343
_cell_angle_alpha 90.00
_cell_angle_beta 90.00
_cell_angle_gamma 90.00
_symmetry_space_group_name_H-M 'F m -3 m'
_symmetry_Int_Tables_number 225
_symmetry_space_group_name_Hall '-F 4 2 3'
loop_
_atom_site_label
_atom_site_fract_x
_atom_site_fract_y
_atom_site_fract_z
Ta1 0.250 0.250 0.250
Tc1 0.000 0.000 0.000
Mo1 0.000 0.000 0.500



Record 5
# Ta2TcMo (PBEsol, optimized geometry)
# ρ = 14.4 g cm⁻³
# ΔE to the lowest computed polymorph = 160 meV/atom
# Total energy = -12.21 eV per atom
data_Ta2TcMo
_cell_length_a 3.179
_cell_length_b 4.395
_cell_length_c 4.584
_cell_angle_alpha 90.00
_cell_angle_beta 90.00
_cell_angle_gamma 90.00
_symmetry_space_group_name_H-M 'P m m m'
_symmetry_Int_Tables_number 47
_symmetry_space_group_name_Hall '-P 2 2'
loop_
_atom_site_label
_atom_site_fract_x
_atom_site_fract_y
_atom_site_fract_z
Ta1 0.000 0.000 0.000
Ta2 0.500 0.000 0.500
Tc1 0.000 0.500 0.500
Mo1 0.500 0.500 0.000



Record 6
# Ta2TcMo (PBEsol, optimized geometry)
# ρ = 14.4 g cm⁻³
# ΔE to the lowest computed polymorph = 170 meV/atom
# Total energy = -12.20 eV per atom
data_Ta2TcMo
_cell_length_a 2.795
_cell_length_b 4.393
_cell_length_c 5.283
_cell_angle_alpha 90.00
_cell_angle_beta 99.11
_cell_angle_gamma 90.00
_symmetry_space_group_name_H-M 'P 1 2/m 1'
_symmetry_Int_Tables_number 10
_symmetry_space_group_name_Hall '-P 2y'
loop_
_atom_site_label
_atom_site_fract_x
_atom_site_fract_y
_atom_site_fract_z
Ta1 0.250 0.000 0.249
Tc1 0.500 0.500 0.000
Mo1 0.000 0.500 0.500